[1]
VASP calculation (PBE) on an optimized crystal structure of Nd2PC.

Cell: 4.3824 4.3824 22.5611 Å, 90.00 90.00 120.00°
Last column: nearest neighbours and their distance in Å.
Space group R-3m (No. 166, hexagonal axes)
Asymmetric unit:
Nd 0.0000 0.0000 0.1004 x6  1 C 2.27
P 0.0000 0.0000 0.5000 x3  6 Nd 2.94
C 0.0000 0.0000 0.0000 x3  2 Nd 2.27

The value obtained for the energy of formation is 0.234 eV per atom. The value obtained for the magnetic moment is 3.14 Bohr magnetons per cell. As for the crystal system: trigonal.

=====

[2]
VASP calculation (PBE) on an optimized crystal structure of Nd6P2C.

Cell: 6.4823 7.6668 11.3517 Å, 90.00 122.48 90.00°
Last column: nearest neighbours and their distance in Å.
Space group P2_1/c (No. 14)
Asymmetric unit:
Nd 0.1063 0.0342 0.2483 x4  1 C 2.53
Nd 0.2025 0.7019 0.0579 x4  1 C 2.54
Nd 0.3861 0.1725 0.0553 x4  1 C 2.59
P 0.3160 0.1200 0.7552 x4  7 Nd 2.96-3.21
C 0.0000 0.0000 0.0000 x2  6 Nd 2.53-2.59

The value obtained for the energy of formation is -0.664 eV per atom. The value obtained for the magnetic moment is 0.02 Bohr magnetons per cell. As for the crystal system: monoclinic.

=====

[3]
VASP calculation (PBE) on an optimized crystal structure of NdPC.

Cell: 7.2071 5.7971 5.7811 Å, 90.00 106.14 90.00°
Last column: nearest neighbours and their distance in Å.
Space group C2/m (No. 12)
Asymmetric unit:
Nd 0.2457 0.0000 0.2379 x4  2 C 2.62-2.72, 1 P 2.88
P 0.1858 0.0000 0.7243 x4  1 C 1.78
C 0.0658 0.5000 0.1088 x4  1 C 1.35

The value obtained for the energy of formation is -0.368 eV per atom. The value obtained for the magnetic moment is 0.00 Bohr magnetons per cell. As for the crystal system: monoclinic.

=====

[4]
VASP calculation (PBE) on an optimized crystal structure of NdPRu2C.

Cell: 3.9091 11.0122 7.1648 Å, 90.00 90.00 90.00°
Last column: nearest neighbours and their distance in Å.
Space group Cmcm (No. 63)
Asymmetric unit:
Nd 0.0000 0.0468 0.2500 x4  4 C 2.70
P 0.0000 0.2292 0.7500 x4  6 Ru 2.46-2.50
Ru 0.0000 0.3332 0.0543 x8  1 C 1.88
C 0.0000 0.5000 0.0000 x4  2 Ru 1.88

The value obtained for the energy of formation is -0.639 eV per atom. The value obtained for the magnetic moment is 0.00 Bohr magnetons per cell. As for the crystal system: orthorhombic.

=====

[5]
VASP calculation (PBE) on an optimized crystal structure of Nd8P3CS4.

Cell: 8.1549 8.1549 20.1091 Å, 90.00 90.00 120.00°
Last column: nearest neighbours and their distance in Å.
Space group R-3m (No. 166, hexagonal axes)
Asymmetric unit:
Nd 0.0000 0.0000 0.2478 x6  3 P 2.86, 3 S 2.92
Nd 0.0171 0.5086 0.2439 x18  1 C 2.72, 2 P 2.87, 2 S 2.92
P 0.0000 0.5000 0.5000 x9  6 Nd 2.86-2.87
C 0.0000 0.0000 0.5000 x3  6 Nd 2.72
S 0.0000 0.0000 0.0000 x3  6 Nd 3.06
S 0.0000 0.5000 0.0000 x9  6 Nd 2.92

The value obtained for the magnetic moment is 0.00 Bohr magnetons per cell. As for the crystal system: trigonal. Its formation energy from raw total energies is -1.65 eV per atom.

=====

[6]
VASP calculation (PBE) on an optimized crystal structure of Nd6P2CS3.

Cell: 17.7975 4.0414 8.2045 Å, 90.00 103.73 90.00°
Last column: nearest neighbours and their distance in Å.
Space group C2/m (No. 12)
Asymmetric unit:
Nd 0.0002 0.0000 0.2220 x4  2 C 2.72, 1 P 2.87, 1 S 2.93
Nd 0.1537 0.5000 0.0791 x4  1 C 2.66, 2 P 2.87, 2 S 2.90
Nd 0.1664 0.5000 0.5802 x4  3 P 2.86-2.90, 3 S 2.88-2.90
P 0.1660 0.0000 0.3326 x4  6 Nd 2.86-2.90
C 0.0000 0.5000 0.0000 x2  6 Nd 2.66-2.72
S 0.0000 0.5000 0.5000 x2  6 Nd 2.88-3.05
S 0.1685 0.0000 0.8348 x4  6 Nd 2.90-3.07

The value obtained for the magnetic moment is 0.00 Bohr magnetons per cell. As for the crystal system: monoclinic. Its formation energy from raw total energies is -1.59 eV per atom.